Record 1
A geometry-optimized Li4Zn2Pb structure. Source: Alexandria via LeMat-Bulk, functional GGA-PBE.

```
Li4Zn2Pb
1.0
3.9534 -2.2626 0.0000
3.9534 2.2626 0.0000
-2.5435 0.0000 6.5605
Li Zn Pb
4 2 1
direct
0.0718 0.0718 0.2123
0.2196 0.2196 0.6599
0.7804 0.7804 0.3401
0.9282 0.9282 0.7877
0.3536 0.3536 0.0582
0.6464 0.6464 0.9418
0.5000 0.5000 0.5000
```

Values from the calculation:
ΔH_f (0 K) = -248 meV per atom
Density of states at the Fermi level = 0.230 states/eV per atom
Size of the total moment = 0.0000 μB/atom
Crystal system = monoclinic

=====

Record 2
A geometry-optimized LiZnPb3 structure. Source: Alexandria via LeMat-Bulk, functional GGA-PBE.

```
LiZnPb3
1.0
5.1836 0.0000 0.0000
0.0000 5.1836 0.0000
0.0000 0.0000 5.1836
Li Zn Pb
1 1 3
direct
0.0000 0.0000 0.0000
0.5000 0.5000 0.5000
0.0000 0.0000 0.5000
0.0000 0.5000 0.0000
0.5000 0.0000 0.0000
```

Values from the calculation:
ΔH_f (0 K) = 248 meV per atom
Density of states at the Fermi level = 0.605 states/eV per atom
Size of the total moment = 0.0000 μB/atom
Crystal system = cubic

=====

Record 3
A geometry-optimized LiZnPb2 structure. Source: Alexandria via LeMat-Bulk, functional GGA-PBE.

```
LiZnPb2
1.0
1.7567 1.0143 9.0829
-1.7567 1.0143 9.0829
0.0000 -2.0285 9.0829
Li Zn Pb
1 1 2
direct
0.0000 0.0000 0.0000
0.5000 0.5000 0.5000
0.2495 0.2495 0.2495
0.7505 0.7505 0.7505
```

Values from the calculation:
ΔH_f (0 K) = 40 meV per atom
Density of states at the Fermi level = 1.171 states/eV per atom
Size of the total moment = 0.0000 μB/atom
Crystal system = trigonal

=====

Record 4
A geometry-optimized LiZnPb2 structure. Source: Alexandria via LeMat-Bulk, functional GGA-PBE.

```
LiZnPb2
1.0
4.7756 -1.7569 0.0000
4.7756 1.7569 0.0000
-1.0690 0.0000 5.7472
Li Zn Pb
1 1 2
direct
0.0000 0.0000 0.0000
0.5000 0.5000 0.5000
0.2450 0.2450 0.7449
0.7550 0.7550 0.2551
```

Values from the calculation:
ΔH_f (0 K) = -17 meV per atom
Density of states at the Fermi level = 0.357 states/eV per atom
Size of the total moment = 0.0000 μB/atom
Crystal system = monoclinic

=====

Record 5
A geometry-optimized LiZn2Pb2 structure. Source: Alexandria via LeMat-Bulk, functional GGA-PBE.

```
LiZn2Pb2
1.0
-2.4092 2.4092 5.7032
2.4092 -2.4092 5.7032
2.4092 2.4092 -5.7032
Li Zn Pb
1 2 2
direct
0.0000 0.0000 0.0000
0.3954 0.3954 0.0000
0.6046 0.6046 0.0000
0.2500 0.7500 0.5000
0.7500 0.2500 0.5000
```

Values from the calculation:
ΔH_f (0 K) = 86 meV per atom
Density of states at the Fermi level = 0.338 states/eV per atom
Size of the total moment = 0.0000 μB/atom
Crystal system = tetragonal

=====

Record 6
A geometry-optimized Li2ZrPb3 structure. Source: Alexandria via LeMat-Bulk, functional GGA-PBE.

```
Li2ZrPb3
1.0
3.4756 0.0000 0.0000
0.0000 3.4756 0.0000
0.0000 0.0000 11.4059
Li Zr Pb
2 1 3
direct
0.0000 0.0000 0.1614
0.0000 0.0000 0.8386
0.0000 0.0000 0.5000
0.5000 0.5000 0.0000
0.5000 0.5000 0.3170
0.5000 0.5000 0.6830
```

Values from the calculation:
ΔH_f (0 K) = -192 meV per atom
Density of states at the Fermi level = 0.648 states/eV per atom
Size of the total moment = 0.0000 μB/atom
Crystal system = tetragonal